No. 1
Computed, not measured: crystalline BaCo2Ru at its relaxed geometry at the PBE-GGA level of DFT.

Properties
E above lowest polymorph: 797 meV/atom
DFT formation energy: 1.0683 eV per atom

```
BaCo2Ru
1.0
-1.432 -0.313 -4.412
-1.472 -4.341 0.777
-1.495 3.483 2.692
Ru Co Ba
1 2 1
Direct
0.500 0.500 0.000
0.250 0.750 0.500
0.000 0.000 0.000
0.750 0.250 0.500
```



No. 2
Computed, not measured: crystalline BaCo2Ru at its relaxed geometry at the PBE-GGA level of DFT.

Properties
E above lowest polymorph: 0 meV/atom
DFT formation energy: 0.2714 eV per atom

```
BaCo2Ru
1.0
4.205 -0.008 0.004
2.109 3.638 0.004
2.100 1.208 5.665
Co Ru Ba
2 1 1
Direct
0.935 0.935 0.196
0.565 0.565 0.304
0.250 0.250 0.250
0.750 0.750 0.750
```



No. 3
Computed, not measured: crystalline BaCoRu at its relaxed geometry at the PBE-GGA level of DFT.

Properties
E above lowest polymorph: 0 meV/atom
DFT formation energy: 0.4474 eV per atom

```
BaCoRu
1.0
4.007 0.000 0.000
-2.004 3.470 0.000
0.000 0.000 5.152
Ru Co Ba
1 1 1
Direct
0.333 0.667 0.500
0.667 0.333 0.500
0.000 0.000 0.000
```



No. 4
Computed, not measured: crystalline BaCo2Ru at its relaxed geometry at the PBE-GGA level of DFT.

Properties
E above lowest polymorph: 325 meV/atom
DFT formation energy: 0.5966 eV per atom

```
BaCo2Ru
1.0
3.183 0.000 0.000
0.000 3.183 0.000
0.000 0.000 7.403
Ru Co Ba
1 2 1
Direct
0.500 0.500 0.250
0.000 0.000 0.411
0.000 0.000 0.089
0.500 0.500 0.750
```